--- i ---
Compound: CuSb2W
Source: Alexandria
Functional: PBE
Structure: optimized geometry

Geometry as POSCAR:
```
CuSb2W
1.0
-3.065 3.065 5.898
3.065 -3.065 5.898
3.065 3.065 -5.898
Cu Sb W
2 4 2
Direct
0.000 0.000 0.000
0.750 0.250 0.500
0.119 0.625 0.994
0.375 0.369 0.494
0.631 0.125 0.006
0.875 0.881 0.506
0.250 0.750 0.500
0.500 0.500 0.000
```

SG = I-42d
ρ = 7.35 g/cm3

---

--- ii ---
Compound: CuSb2W
Source: Alexandria
Functional: PBE
Structure: optimized geometry

Geometry as POSCAR:
```
CuSb2W
1.0
4.493 -1.650 0.000
4.493 1.650 0.000
-0.652 0.000 5.275
Cu Sb W
1 2 1
Direct
0.000 0.000 0.000
0.229 0.229 0.736
0.771 0.771 0.264
0.500 0.500 0.500
```

SG = C2/m
ρ = 10.42 g/cm3

---

Result of the stability comparison: ii is the most stable of them.

---

--- i ---
Compound: CuSb2W
Source: Alexandria
Functional: PBE
Structure: optimized geometry

Geometry as POSCAR:
```
CuSb2W
1.0
3.475 0.000 0.000
0.000 3.475 0.000
0.000 0.000 6.281
Cu Sb W
1 2 1
Direct
0.000 0.000 0.000
0.500 0.500 0.256
0.500 0.500 0.744
0.000 0.000 0.500
```

SG = P4/mmm
ρ = 10.74 g/cm3

---

--- ii ---
Compound: CuSb2W
Source: Alexandria
Functional: PBE
Structure: optimized geometry

Geometry as POSCAR:
```
CuSb2W
1.0
1.853 -2.499 0.000
1.853 2.499 0.000
0.000 0.000 8.498
Cu Sb W
1 2 1
Direct
0.000 0.000 0.000
0.500 0.500 0.247
0.500 0.500 0.753
0.000 0.000 0.500
```

SG = Cmmm
ρ = 10.36 g/cm3

---

Result of the stability comparison: i is the most stable of them.

---

--- i ---
Compound: CuSb2W
Source: Alexandria
Functional: PBE
Structure: optimized geometry

Geometry as POSCAR:
```
CuSb2W
1.0
-2.250 2.250 3.743
2.250 -2.250 3.743
2.250 2.250 -3.743
Cu Sb W
1 2 1
Direct
0.000 0.000 0.000
0.250 0.750 0.500
0.750 0.250 0.500
0.500 0.500 0.000
```

SG = I4/mmm
ρ = 10.76 g/cm3

---

--- ii ---
Compound: CuSb2W
Source: Alexandria
Functional: PBE
Structure: optimized geometry

Geometry as POSCAR:
```
CuSb2W
1.0
2.924 0.000 0.000
0.000 3.740 0.000
0.000 0.000 8.032
Cu Sb W
1 2 1
Direct
0.000 0.000 0.000
0.000 0.000 0.613
0.500 0.500 0.183
0.500 0.500 0.831
```

SG = Pmm2
ρ = 9.28 g/cm3

---

Result of the stability comparison: ii is the most stable of them.

---

--- i ---
Compound: CuSb2W
Source: Alexandria
Functional: PBE
Structure: optimized geometry

Geometry as POSCAR:
```
CuSb2W
1.0
3.472 0.000 0.000
0.000 3.472 0.000
-0.603 0.000 6.330
Cu Sb W
1 2 1
Direct
0.000 0.000 0.000
0.461 0.500 0.257
0.539 0.500 0.743
0.000 0.000 0.500
```

SG = P2/m
ρ = 10.68 g/cm3

---

--- ii ---
Compound: CuSb2W
Source: Alexandria
Functional: PBE
Structure: optimized geometry

Geometry as POSCAR:
```
CuSb2W
1.0
0.000 3.367 3.367
3.367 0.000 3.367
3.367 3.367 0.000
Cu Sb W
1 2 1
Direct
0.000 0.000 0.000
0.250 0.250 0.250
0.750 0.750 0.750
0.500 0.500 0.500
```

SG = Fm-3m
ρ = 10.68 g/cm3

---

Result of the stability comparison: i is the most stable of them.

---

--- i ---
Compound: CuSbW3
Source: Alexandria
Functional: PBE
Structure: optimized geometry

Geometry as POSCAR:
```
CuSbW3
1.0
4.565 0.000 0.000
0.000 4.565 0.000
0.000 0.000 4.565
Cu Sb W
1 1 3
Direct
0.000 0.000 0.000
0.500 0.500 0.500
0.000 0.000 0.500
0.000 0.500 0.000
0.500 0.000 0.000
```

SG = Pm-3m
ρ = 12.86 g/cm3

---

--- ii ---
Compound: CuSbW3
Source: Alexandria
Functional: PBE
Structure: optimized geometry

Geometry as POSCAR:
```
CuSbW3
1.0
4.874 0.000 0.000
0.000 4.874 0.000
0.000 0.000 4.874
Cu Sb W
1 1 3
Direct
0.000 0.000 0.000
0.500 0.500 0.500
0.000 0.500 0.500
0.500 0.000 0.500
0.500 0.500 0.000
```

SG = Pm-3m
ρ = 10.57 g/cm3

---

Result of the stability comparison: i is the most stable of them.

---

--- i ---
Compound: CuSbW
Source: Alexandria
Functional: PBE
Structure: optimized geometry

Geometry as POSCAR:
```
CuSbW
1.0
4.523 0.000 0.000
-2.262 3.917 0.000
0.000 0.000 2.834
Cu Sb W
1 1 1
Direct
0.000 0.000 0.000
0.333 0.667 0.085
0.667 0.333 0.494
```

SG = P3m1
ρ = 12.21 g/cm3

---

--- ii ---
Compound: CuSbW
Source: Alexandria
Functional: PBE
Structure: optimized geometry

Geometry as POSCAR:
```
CuSbW
1.0
-1.682 1.682 4.440
1.682 -1.682 4.440
1.682 1.682 -4.440
Cu Sb W
1 1 1
Direct
0.000 0.000 0.000
0.334 0.334 0.000
0.660 0.660 0.000
```

SG = I4mm
ρ = 12.21 g/cm3

---

Result of the stability comparison: ii is the most stable of them.